Here is crystalline AlSi2Pt at its relaxed geometry from Alexandria. Energies are from PBE-GGA.

## Properties
- E_form (uncorrected) (eV/f.u.) = -0.1
- SG = P4/mmm, No. 123
- DOS at the Fermi energy (states/eV/atom) = 0.699
- calculated total energy (eV per atom) = -5.17

abc: 3.959 3.959 3.812
angles: 90.00 90.00 90.00
Atoms (fractional coordinates):
Al (0.000, 0.000, 0.000)
Si (0.000, 0.500, 0.500)
Si (0.500, 0.000, 0.500)
Pt (0.500, 0.500, 0.000)